Run 1
AsAuI2N, relaxed, DFT GGA-PBE; DOS at the Fermi energy = 0.95 states/eV per atom; crystal system = tetragonal; SG = No. 123
1.0
-1.8747 -4.9919 -2.6514
2.9861 1.4971 -4.9300
3.0445 -1.8279 1.2889
I As Au N
2 1 1 1
direct
0.0000 0.5000 0.0000
0.5000 0.0000 0.0000
0.5000 0.5000 0.5000
0.0000 0.0000 0.0000
0.0000 0.0000 0.5000

=====

Run 2
AsAuI2N, relaxed, DFT GGA-PBE; DOS at the Fermi energy = 0.53 states/eV per atom; crystal system = tetragonal; SG = No. 123
1.0
6.0075 0.0000 0.0000
0.0000 6.0075 0.0000
0.0000 0.0000 3.6190
I As Au N
2 1 1 1
direct
0.0000 0.5000 0.0000
0.5000 0.0000 0.0000
0.0000 0.0000 0.0000
0.5000 0.5000 0.5000
0.0000 0.0000 0.5000

=====

Most stable structure, least stable structure: run 2, run 1.

=====

Run 1
AsAuIN2, relaxed, DFT GGA-PBE; DOS at the Fermi energy = 0.53 states/eV per atom; crystal system = tetragonal; SG = No. 123
1.0
3.8348 0.0000 0.0000
0.0000 3.8348 0.0000
0.0000 0.0000 7.7635
I As Au N
1 1 1 2
direct
0.0000 0.0000 0.5000
0.0000 0.0000 0.0000
0.5000 0.5000 0.5000
0.0000 0.5000 0.0000
0.5000 0.0000 0.0000

=====

Run 2
AsAuIN2, relaxed, DFT GGA-PBE; DOS at the Fermi energy = 0.66 states/eV per atom; crystal system = tetragonal; SG = No. 123
1.0
-3.2878 2.3193 0.3698
-1.5374 -1.6444 -3.3553
-3.6474 -5.8977 4.5616
I As Au N
1 1 1 2
direct
0.0000 0.0000 0.5000
0.5000 0.5000 0.5000
0.0000 0.0000 0.0000
0.0000 0.5000 0.0000
0.5000 0.0000 0.0000

=====

Most stable structure, least stable structure: run 1, run 2.

=====

Run 1
Sb2AsAuI, relaxed, DFT GGA-PBE; DOS at the Fermi energy = 1.15 states/eV per atom; crystal system = tetragonal; SG = No. 123
1.0
-0.0142 -4.8539 2.4691
3.0579 2.0360 4.0201
-4.4623 1.3832 2.6937
I Sb As Au
1 2 1 1
direct
0.0000 0.0000 0.5000
0.0000 0.5000 0.0000
0.5000 0.0000 0.0000
0.5000 0.5000 0.5000
0.0000 0.0000 0.0000

=====

Run 2
Sb2AsAuI, relaxed, DFT GGA-PBE; DOS at the Fermi energy = 0.97 states/eV per atom; crystal system = tetragonal; SG = No. 123
1.0
-5.3002 0.6611 -1.0918
-1.2495 -3.6398 3.8615
-0.2612 4.0129 3.6980
I Sb As Au
1 2 1 1
direct
0.0000 0.0000 0.5000
0.0000 0.5000 0.0000
0.5000 0.0000 0.0000
0.0000 0.0000 0.0000
0.5000 0.5000 0.5000

=====

Most stable structure, least stable structure: run 1, run 2.

=====

Run 1
SbAsAuI2, relaxed, DFT GGA-PBE; DOS at the Fermi energy = 0.84 states/eV per atom; crystal system = tetragonal; SG = No. 123
1.0
5.4999 0.0000 0.0000
0.0000 5.4999 0.0000
0.0000 0.0000 5.6990
I Sb As Au
2 1 1 1
direct
0.0000 0.5000 0.0000
0.5000 0.0000 0.0000
0.0000 0.0000 0.5000
0.5000 0.5000 0.5000
0.0000 0.0000 0.0000

=====

Run 2
SbAsAuI2, relaxed, DFT GGA-PBE; DOS at the Fermi energy = 0.90 states/eV per atom; crystal system = tetragonal; SG = No. 123
1.0
-5.0078 -0.3442 2.4165
-1.7850 -3.2453 -4.1614
1.6732 -4.5378 2.8211
I Sb As Au
2 1 1 1
direct
0.0000 0.5000 0.0000
0.5000 0.0000 0.0000
0.0000 0.0000 0.5000
0.0000 0.0000 0.0000
0.5000 0.5000 0.5000

=====

Most stable structure, least stable structure: run 2, run 1.

=====

Run 1
TeAsAuI2, relaxed, DFT GGA-PBE; DOS at the Fermi energy = 1.18 states/eV per atom; crystal system = tetragonal; SG = No. 123
1.0
5.5923 0.0000 0.0000
0.0000 5.5923 0.0000
0.0000 0.0000 5.5578
I As Te Au
2 1 1 1
direct
0.0000 0.5000 0.0000
0.5000 0.0000 0.0000
0.0000 0.0000 0.0000
0.0000 0.0000 0.5000
0.5000 0.5000 0.5000

=====

Run 2
TeAsAuI2, relaxed, DFT GGA-PBE; DOS at the Fermi energy = 0.55 states/eV per atom; crystal system = tetragonal; SG = No. 123
1.0
-0.9406 0.1559 -5.4229
-1.6359 -5.2558 0.1326
-5.3777 1.6986 0.9816
I As Te Au
2 1 1 1
direct
0.0000 0.5000 0.0000
0.5000 0.0000 0.0000
0.5000 0.5000 0.5000
0.0000 0.0000 0.5000
0.0000 0.0000 0.0000

=====

Most stable structure, least stable structure: run 1, run 2.

=====

Run 1
In2AsAu2, relaxed, DFT GGA-PBE; DOS at the Fermi energy = 1.16 states/eV per atom; crystal system = tetragonal; SG = No. 127
1.0
-3.1813 -6.3470 -3.9455
-3.5039 -2.5208 6.8804
-2.7180 1.8104 -0.7209
As Au In
2 4 4
direct
0.0000 0.0000 0.0000
0.5000 0.5000 0.0000
0.1214 0.6214 0.5000
0.6214 0.8786 0.5000
0.8786 0.3786 0.5000
0.3786 0.1214 0.5000
0.3203 0.8203 0.0000
0.8203 0.6797 0.0000
0.6797 0.1797 0.0000
0.1797 0.3203 0.0000

=====

Run 2
In2AsAu2, relaxed, DFT GGA-PBE; DOS at the Fermi energy = 0.29 states/eV per atom; crystal system = tetragonal; SG = No. 139
1.0
3.8457 0.0000 0.0000
0.0000 3.8457 0.0000
1.9229 1.9229 7.6633
As Au In
1 2 2
direct
0.0000 0.0000 0.0000
0.7500 0.2500 0.5000
0.2500 0.7500 0.5000
0.4012 0.4012 0.1976
0.5988 0.5988 0.8024

=====

Most stable structure, least stable structure: run 2, run 1.

=====

Run 1
InAsAu3, relaxed, DFT GGA-PBE; DOS at the Fermi energy = 0.39 states/eV per atom; crystal system = cubic; SG = No. 221
1.0
-1.6908 -4.6460 -0.8635
0.7165 -1.1586 4.8306
-4.6710 1.5041 1.0535
As Au In
1 3 1
direct
0.0000 0.0000 0.0000
0.0000 0.5000 0.0000
0.0000 0.0000 0.5000
0.5000 0.0000 0.0000
0.5000 0.5000 0.5000

=====

Run 2
InAsAu3, relaxed, DFT GGA-PBE; DOS at the Fermi energy = 0.68 states/eV per atom; crystal system = cubic; SG = No. 221
1.0
5.1359 0.0000 0.0000
0.0000 5.1359 0.0000
0.0000 0.0000 5.1359
As Au In
1 3 1
direct
0.5000 0.5000 0.5000
0.0000 0.5000 0.0000
0.0000 0.0000 0.5000
0.5000 0.0000 0.0000
0.0000 0.0000 0.0000

=====

Most stable structure, least stable structure: run 1, run 2.

=====

Run 1
AsIr3Au, relaxed, DFT GGA-PBE; DOS at the Fermi energy = 2.06 states/eV per atom; crystal system = cubic; SG = No. 221
1.0
4.8685 0.0000 0.0000
0.0000 4.8685 0.0000
0.0000 0.0000 4.8685
As Ir Au
1 3 1
direct
0.5000 0.5000 0.5000
0.0000 0.5000 0.0000
0.0000 0.0000 0.5000
0.5000 0.0000 0.0000
0.0000 0.0000 0.0000

=====

Run 2
AsIr3Au, relaxed, DFT GGA-PBE; DOS at the Fermi energy = 1.24 states/eV per atom; crystal system = cubic; SG = No. 221
1.0
4.5613 0.0000 0.0000
0.0000 4.5613 0.0000
0.0000 0.0000 4.5613
As Ir Au
1 3 1
direct
0.0000 0.0000 0.0000
0.0000 0.5000 0.0000
0.0000 0.0000 0.5000
0.5000 0.0000 0.0000
0.5000 0.5000 0.5000

=====

Most stable structure, least stable structure: run 2, run 1.

=====

Run 1
AsIrAu3, relaxed, DFT GGA-PBE; DOS at the Fermi energy = 0.85 states/eV per atom; crystal system = cubic; SG = No. 221
1.0
-4.3127 1.8924 0.7263
-0.8572 -0.1555 -4.6849
-1.8368 -4.3706 0.4812
As Ir Au
1 1 3
direct
0.0000 0.0000 0.0000
0.5000 0.5000 0.5000
0.0000 0.5000 0.0000
0.0000 0.0000 0.5000
0.5000 0.0000 0.0000

=====

Run 2
AsIrAu3, relaxed, DFT GGA-PBE; DOS at the Fermi energy = 1.21 states/eV per atom; crystal system = cubic; SG = No. 221
1.0
5.0019 0.0000 0.0000
0.0000 5.0019 0.0000
0.0000 0.0000 5.0019
As Ir Au
1 1 3
direct
0.5000 0.5000 0.5000
0.0000 0.0000 0.0000
0.0000 0.5000 0.0000
0.0000 0.0000 0.5000
0.5000 0.0000 0.0000

=====

Most stable structure, least stable structure: run 1, run 2.

=====

Run 1
Ta2AsIrAu, relaxed, DFT GGA-PBE; DOS at the Fermi energy = 1.29 states/eV per atom; crystal system = tetragonal; SG = No. 123
1.0
-1.2294 -3.5279 -3.1589
-1.8562 -2.6648 3.6984
-4.3612 2.1151 -0.6649
As Ir Au Ta
1 1 1 2
direct
0.5000 0.5000 0.5000
0.0000 0.5000 0.0000
0.0000 0.0000 0.0000
0.0000 0.0000 0.5000
0.5000 0.0000 0.0000

=====

Run 2
Ta2AsIrAu, relaxed, DFT GGA-PBE; DOS at the Fermi energy = 1.29 states/eV per atom; crystal system = tetragonal; SG = No. 123
1.0
4.7247 0.0000 0.0000
0.0000 4.5948 0.0000
0.0000 0.0000 4.7247
As Ir Au Ta
1 1 1 2
direct
0.0000 0.0000 0.0000
0.5000 0.5000 0.5000
0.0000 0.5000 0.0000
0.0000 0.0000 0.5000
0.5000 0.0000 0.0000

=====

Most stable structure, least stable structure: run 2, run 1.

=====

Run 1
KAs3Au, relaxed, DFT GGA-PBE; DOS at the Fermi energy = 1.03 states/eV per atom; crystal system = cubic; SG = No. 221
1.0
5.1990 0.0000 0.0000
0.0000 5.1990 0.0000
0.0000 0.0000 5.1990
As Au K
3 1 1
direct
0.0000 0.5000 0.0000
0.0000 0.0000 0.5000
0.5000 0.0000 0.0000
0.0000 0.0000 0.0000
0.5000 0.5000 0.5000

=====

Run 2
KAs3Au, relaxed, DFT GGA-PBE; DOS at the Fermi energy = 1.55 states/eV per atom; crystal system = cubic; SG = No. 221
1.0
-4.1984 -2.9961 1.7504
-0.5266 -2.1656 -4.9699
3.4298 -4.0001 1.3796
As Au K
3 1 1
direct
0.0000 0.5000 0.0000
0.0000 0.0000 0.5000
0.5000 0.0000 0.0000
0.5000 0.5000 0.5000
0.0000 0.0000 0.0000

=====

Most stable structure, least stable structure: run 1, run 2.

=====

Run 1
Li8AsAu2, relaxed, DFT GGA-PBE; DOS at the Fermi energy = 0.20 states/eV per atom; crystal system = orthorhombic; SG = No. 44
1.0
4.1420 0.0464 -1.2371
-0.8352 5.9372 -2.5711
-0.0094 -0.3336 7.5084
Li As Au
8 1 2
direct
0.6364 0.1949 0.9091
0.9785 0.0241 0.5936
0.2940 0.3396 0.2246
0.7462 0.9667 0.1287
0.3286 0.8761 0.2937
0.9440 0.4915 0.5245
0.1367 0.5233 0.9091
0.5266 0.7471 0.6895
0.1364 0.9316 0.9091
0.7947 0.6110 0.2260
0.4778 0.2941 0.5922

=====

Run 2
Li8AsAu2, relaxed, DFT GGA-PBE; DOS at the Fermi energy = 0.27 states/eV per atom; crystal system = monoclinic; SG = No. 12
1.0
4.3180 0.0000 0.0000
0.0000 6.5687 -0.2241
-2.1590 -3.0702 6.3324
Li As Au
8 1 2
direct
0.3543 0.5772 0.7085
0.6465 0.8705 0.2930
0.8416 0.8404 0.6832
0.9995 0.2780 0.9990
0.1584 0.1596 0.3168
0.3535 0.1295 0.7070
0.6457 0.4228 0.2915
0.0005 0.7220 0.0010
0.5000 0.0000 0.0000
0.8119 0.3126 0.6238
0.1881 0.6874 0.3762

=====

Most stable structure, least stable structure: run 2, run 1.

=====

Run 1
Li2AsAu2, relaxed, DFT GGA-PBE; DOS at the Fermi energy = 0.20 states/eV per atom; crystal system = monoclinic; SG = No. 12
1.0
-2.5369 -2.0614 2.1035
1.9160 -3.8128 2.1658
3.5898 1.8990 9.7819
Li As Au
4 2 4
direct
0.0539 0.2503 0.6419
0.8493 0.2542 0.0471
0.9461 0.7497 0.3581
0.1507 0.7458 0.9529
0.2383 0.2931 0.2304
0.7617 0.7069 0.7696
0.6460 0.2704 0.4376
0.5368 0.7805 0.1459
0.3540 0.7296 0.5624
0.4632 0.2195 0.8541

=====

Run 2
Li2AsAu2, relaxed, DFT GGA-PBE; DOS at the Fermi energy = 0.39 states/eV per atom; crystal system = tetragonal; SG = No. 139
1.0
-2.4636 0.4325 2.6142
-1.5853 -3.1008 -0.9809
1.9096 -4.6942 5.0801
As Au Li
1 2 2
direct
0.0000 0.0000 0.0000
0.3940 0.3940 0.2119
0.6060 0.6060 0.7881
0.7500 0.2500 0.5000
0.2500 0.7500 0.5000

=====

Most stable structure, least stable structure: run 1, run 2.